Version i
The following is a GGA-PBE calculation of crystalline TaPdSeBr2 at its relaxed geometry, from Alexandria.

Cell: 5.130 5.130 4.988 Å, 90.00 90.00 90.00°
Atoms (fractional coordinates):
Br 0.500 0.000 0.000
Ta 0.000 0.000 0.000
Pd 0.500 0.500 0.500
Se 0.000 0.000 0.500
Br 0.000 0.500 0.000

Summary:
Magnetization = 0.0 μB per cell
DOS(E_F) = 8.52 states/eV per cell

Version ii
The following is a GGA-PBE calculation of crystalline TaPdSeBr2 at its relaxed geometry, from Alexandria.

Cell: 4.949 4.949 5.087 Å, 90.00 90.00 90.00°
Atoms (fractional coordinates):
Br 0.500 0.000 0.000
Br 0.000 0.500 0.000
Se 0.000 0.000 0.500
Ta 0.500 0.500 0.500
Pd 0.000 0.000 0.000

Summary:
Magnetization = 2.8 μB per cell
DOS(E_F) = 4.61 states/eV per cell

Short version: version ii is the least stable of them.

Version i
The following is a GGA-PBE calculation of crystalline YPdSe2Br at its relaxed geometry, from Alexandria.

Cell: 5.497 5.497 5.466 Å, 90.00 90.00 90.00°
Atoms (fractional coordinates):
Se 0.500 0.000 0.000
Se 0.000 0.500 0.000
Pd 0.500 0.500 0.500
Y 0.000 0.000 0.000
Br 0.000 0.000 0.500

Summary:
Magnetization = 1.5 μB per cell
DOS(E_F) = 7.06 states/eV per cell

Version ii
The following is a GGA-PBE calculation of crystalline YPdSe2Br at its relaxed geometry, from Alexandria.

Cell: 5.038 5.038 4.899 Å, 90.00 90.00 90.00°
Atoms (fractional coordinates):
Se 0.500 0.000 0.000
Pd 0.000 0.000 0.000
Y 0.500 0.500 0.500
Br 0.000 0.000 0.500
Se 0.000 0.500 0.000

Summary:
Magnetization = 0.0 μB per cell
DOS(E_F) = 2.07 states/eV per cell

Short version: version i is the least stable of them.

Version i
The following is a GGA-PBE calculation of crystalline ZnPdSe2Br at its relaxed geometry, from Alexandria.

Cell: 4.899 4.899 5.179 Å, 90.00 90.00 90.00°
Atoms (fractional coordinates):
Zn 0.000 0.000 0.000
Se 0.000 0.500 0.000
Pd 0.500 0.500 0.500
Br 0.000 0.000 0.500
Se 0.500 0.000 0.000

Summary:
Magnetization = 1.9 μB per cell
DOS(E_F) = 5.82 states/eV per cell

Version ii
The following is a GGA-PBE calculation of crystalline ZnPdSe2Br at its relaxed geometry, from Alexandria.

Cell: 4.981 4.981 5.099 Å, 90.00 90.00 90.00°
Atoms (fractional coordinates):
Pd 0.000 0.000 0.000
Se 0.000 0.500 0.000
Zn 0.500 0.500 0.500
Br 0.000 0.000 0.500
Se 0.500 0.000 0.000

Summary:
Magnetization = 0.0 μB per cell
DOS(E_F) = 5.76 states/eV per cell

Short version: version i is the least stable of them.

Version i
The following is a GGA-PBE calculation of crystalline ZnPdSeBr2 at its relaxed geometry, from Alexandria.

Cell: 5.117 5.117 5.009 Å, 90.00 90.00 90.00°
Atoms (fractional coordinates):
Se 0.000 0.000 0.500
Pd 0.500 0.500 0.500
Br 0.000 0.500 0.000
Zn 0.000 0.000 0.000
Br 0.500 0.000 0.000

Summary:
Magnetization = 1.8 μB per cell
DOS(E_F) = 7.20 states/eV per cell

Version ii
The following is a GGA-PBE calculation of crystalline ZnPdSeBr2 at its relaxed geometry, from Alexandria.

Cell: 5.108 5.108 5.038 Å, 90.00 90.00 90.00°
Atoms (fractional coordinates):
Br 0.500 0.000 0.000
Pd 0.000 0.000 0.000
Br 0.000 0.500 0.000
Zn 0.500 0.500 0.500
Se 0.000 0.000 0.500

Summary:
Magnetization = 0.0 μB per cell
DOS(E_F) = 4.68 states/eV per cell

Short version: version i is the least stable of them.

Version i
The following is a GGA-PBE calculation of crystalline ZrPdSe2Br at its relaxed geometry, from Alexandria.

Cell: 5.201 5.201 5.316 Å, 90.00 90.00 90.00°
Atoms (fractional coordinates):
Pd 0.500 0.500 0.500
Zr 0.000 0.000 0.000
Se 0.000 0.500 0.000
Se 0.500 0.000 0.000
Br 0.000 0.000 0.500

Summary:
Magnetization = 0.5 μB per cell
DOS(E_F) = 7.91 states/eV per cell

Version ii
The following is a GGA-PBE calculation of crystalline ZrPdSe2Br at its relaxed geometry, from Alexandria.

Cell: 4.958 4.958 4.874 Å, 90.00 90.00 90.00°
Atoms (fractional coordinates):
Zr 0.500 0.500 0.500
Br 0.000 0.000 0.500
Se 0.500 0.000 0.000
Pd 0.000 0.000 0.000
Se 0.000 0.500 0.000

Summary:
Magnetization = 0.0 μB per cell
DOS(E_F) = 6.53 states/eV per cell

Short version: version ii is the least stable of them.

Version i
The following is a GGA-PBE calculation of crystalline SiPdBr3 at its relaxed geometry, from Alexandria.

Cell: 5.147 5.147 5.147 Å, 90.00 90.00 90.00°
Atoms (fractional coordinates):
Si 0.000 0.000 0.000
Br 0.000 0.500 0.000
Br 0.000 0.000 0.500
Pd 0.500 0.500 0.500
Br 0.500 0.000 0.000

Summary:
Magnetization = 0.6 μB per cell
DOS(E_F) = 13.76 states/eV per cell

Version ii
The following is a GGA-PBE calculation of crystalline SiPdBr3 at its relaxed geometry, from Alexandria.

Cell: 5.124 5.124 5.124 Å, 90.00 90.00 90.00°
Atoms (fractional coordinates):
Si 0.500 0.500 0.500
Br 0.000 0.000 0.500
Br 0.000 0.500 0.000
Pd 0.000 0.000 0.000
Br 0.500 0.000 0.000

Summary:
Magnetization = 0.6 μB per cell
DOS(E_F) = 2.91 states/eV per cell

Short version: version ii is the least stable of them.

Version i
The following is a GGA-PBE calculation of crystalline Si2Pd2Br at its relaxed geometry, from Alexandria.

Cell: 7.640 7.640 2.932 Å, 90.00 90.00 90.00°
Atoms (fractional coordinates):
Br 0.500 0.500 0.000
Br 0.000 0.000 0.000
Pd 0.871 0.371 0.500
Si 0.845 0.655 0.000
Si 0.655 0.155 0.000
Si 0.345 0.845 0.000
Pd 0.629 0.871 0.500
Pd 0.129 0.629 0.500
Pd 0.371 0.129 0.500
Si 0.155 0.345 0.000

Summary:
Magnetization = 0.0 μB per cell
DOS(E_F) = 6.05 states/eV per cell

Version ii
The following is a GGA-PBE calculation of crystalline Si2Pd2Br at its relaxed geometry, from Alexandria.

Cell: 4.156 4.156 6.008 Å, 69.76 69.76 90.00°
Atoms (fractional coordinates):
Pd 0.750 0.250 0.500
Si 0.620 0.620 0.760
Pd 0.250 0.750 0.500
Br 0.000 0.000 0.000
Si 0.380 0.380 0.240

Summary:
Magnetization = 0.0 μB per cell
DOS(E_F) = 4.43 states/eV per cell

Short version: version i is the least stable of them.

Version i
The following is a GGA-PBE calculation of crystalline SiPdBr2 at its relaxed geometry, from Alexandria.

Cell: 4.879 4.879 4.879 Å, 60.00 60.00 60.00°
Atoms (fractional coordinates):
Si 0.000 0.000 0.000
Br 0.750 0.750 0.750
Pd 0.500 0.500 0.500
Br 0.250 0.250 0.250

Summary:
Magnetization = 0.0 μB per cell
DOS(E_F) = 0.47 states/eV per cell

Version ii
The following is a GGA-PBE calculation of crystalline SiPdBr2 at its relaxed geometry, from Alexandria.

Cell: 4.991 4.991 8.808 Å, 73.54 73.54 90.00°
Atoms (fractional coordinates):
Pd 0.750 0.250 0.500
Br 0.375 0.371 0.750
Br 0.121 0.625 0.250
Br 0.629 0.125 0.250
Pd 0.000 0.000 0.000
Si 0.500 0.500 0.000
Br 0.875 0.879 0.750
Si 0.250 0.750 0.500

Summary:
Magnetization = 0.0 μB per cell
DOS(E_F) = 0.00 states/eV per cell

Short version: version i is the least stable of them.